No. 1
Cu2SiSnN | SCAN | PBEsol geometry

Computed properties:
Its uncorrected energy is -16.547 eV per atom. For the uncorrected formation energy, the calculation gives 0.579 eV per atom.

abc: 4.7668 4.7668 3.3272
angles: 90.00 90.00 90.00
Last column: nearest neighbours and their distance in Å.
Atoms (fractional coordinates):
Cu1 0.0000 0.5000 0.0000  2 Si 2.38
Cu2 0.5000 0.0000 0.0000  2 Si 2.38
Si1 0.0000 0.0000 0.0000  2 N 1.66
Sn1 0.5000 0.5000 0.5000  8 Cu 2.91
N1 0.0000 0.0000 0.5000  2 Si 1.66


No. 2
AgTeHI2 | SCAN | PBEsol geometry

Computed properties:
Its uncorrected energy is -28.636 eV per atom. The energy above the most stable polymorph in this dataset is 0 meV per atom.

abc: 5.6065 5.6065 3.8113
angles: 90.00 90.00 90.00
Last column: nearest neighbours and their distance in Å.
Atoms (fractional coordinates):
Ag1 0.0000 0.0000 0.0000  8 I 3.39
Te1 0.5000 0.5000 0.0000  2 H 1.91
H1 0.5000 0.5000 0.5000  2 Te 1.91
I1 0.0000 0.5000 0.5000  2 H 2.80
I2 0.5000 0.0000 0.5000  2 H 2.80


No. 3
BaTaAs2 | SCAN | PBEsol geometry

Computed properties:
The formation energy comes out at 73 kJ/mol of atoms. Its uncorrected energy is -35.877 eV per atom. The energy above the most stable polymorph in this dataset is 1424 meV per atom.

abc: 6.9855 6.9855 6.9855
angles: 90.00 90.00 90.00
Last column: nearest neighbours and their distance in Å.
Atoms (fractional coordinates):
Ba1 0.0000 0.0000 0.0000  4 Ta 3.02, 4 As 3.02
Ba2 0.0000 0.5000 0.5000  4 As 3.02, 4 Ta 3.02
Ba3 0.5000 0.0000 0.5000  4 As 3.02, 4 Ta 3.02
Ba4 0.5000 0.5000 0.0000  4 As 3.02, 4 Ta 3.02
Ta1 0.2500 0.2500 0.7500  4 Ba 3.02, 4 As 3.02
Ta2 0.2500 0.7500 0.2500  4 Ba 3.02, 4 As 3.02
Ta3 0.7500 0.2500 0.2500  4 Ba 3.02, 4 As 3.02
Ta4 0.7500 0.7500 0.7500  4 As 3.02, 4 Ba 3.02
As1 0.0000 0.0000 0.5000  4 Ta 3.02, 4 As 3.02
As2 0.0000 0.5000 0.0000  4 Ta 3.02, 4 As 3.02
As3 0.2500 0.2500 0.2500  4 Ba 3.02, 4 As 3.02
As4 0.2500 0.7500 0.7500  4 Ba 3.02, 4 As 3.02
As5 0.5000 0.0000 0.0000  4 Ta 3.02, 4 As 3.02
As6 0.5000 0.5000 0.5000  4 Ta 3.02, 4 As 3.02
As7 0.7500 0.2500 0.7500  4 Ba 3.02, 4 As 3.02
As8 0.7500 0.7500 0.2500  4 Ba 3.02, 4 As 3.02


no.,total moment (μB/atom)
1,0.0000
2,0.0000
3,0.0010